Compound: Ni2H2O3
Source: the Alexandria database
Functional: PBE+U
Structure: relaxed

Geometry as POSCAR:
```
Ni2H2O3
1.0
5.163 -1.266 0.000
5.163 1.266 0.000
-2.333 0.000 5.305
Ni H O
2 2 3
Direct
0.024 0.024 0.265
0.976 0.976 0.735
0.329 0.329 0.336
0.671 0.671 0.664
0.144 0.144 0.634
0.500 0.500 0.000
0.856 0.856 0.366
```

Results
**Total DFT energy (no corrections)**: -4.43 eV per atom
**Space-group type**: C2/m, No. 12